TmMnNiRu | PBE | optimized geometry

Properties
**Crystal system**: cubic
**Size of the total moment**: 17.189 Bohr magnetons per cell
**Uncorrected energy**: -7.304 eV/atom

Cell: 6.3205 6.3205 6.3205 Å, 90.00 90.00 90.00°
With the nearest neighbours (Å) after each atom.
Space group F-43m (No. 216)
Asymmetric unit:
Tm1 0.0000 0.0000 0.0000 (multiplicity 4)  4 Ni 2.74, 4 Ru 2.74
Mn1 0.0000 0.0000 0.5000 (multiplicity 4)  4 Ru 2.74, 4 Ni 2.74
Ni1 0.2500 0.2500 0.7500 (multiplicity 4)  4 Mn 2.74, 4 Tm 2.74
Ru1 0.2500 0.2500 0.2500 (multiplicity 4)  4 Mn 2.74, 4 Tm 2.74

BiHCl2 | PBE | optimized geometry

Properties
**Crystal system**: tetragonal
**Size of the total moment**: 0.000 Bohr magnetons per cell
**Offset from the most stable computed form**: 458.9 meV/atom

Cell: 5.8138 5.8138 9.6444 Å, 90.00 90.00 90.00°
With the nearest neighbours (Å) after each atom.
Space group I-42d (No. 122)
Asymmetric unit:
Bi1 0.0000 0.0000 0.0000 (multiplicity 4)  4 Cl 3.02
H1 0.0000 0.0000 0.5000 (multiplicity 4)  4 Cl 1.97
Cl1 0.0937 0.2500 0.6250 (multiplicity 8)  2 H 1.97

MnGa2Cl4 | PBE | optimized geometry

Properties
**Crystal system**: orthorhombic
**Size of the total moment**: 9.999 Bohr magnetons per cell
**Raw formation energy**: -0.864 eV per atom

Cell: 8.4881 11.5465 3.8893 Å, 90.00 90.00 90.00°
With the nearest neighbours (Å) after each atom.
Space group Pbam (No. 55)
Asymmetric unit:
Mn1 0.0000 0.0000 0.0000 (multiplicity 2)  6 Cl 2.49-2.60
Ga1 0.1260 0.3028 0.5000 (multiplicity 4)  5 Cl 2.79-3.10
Cl1 0.1197 0.8027 0.0000 (multiplicity 4)  1 Mn 2.49
Cl2 0.1835 0.0648 0.5000 (multiplicity 4)  2 Mn 2.60, 1 Ga 2.79

CePuC | PBE | optimized geometry

Properties
**Crystal system**: tetragonal
**Size of the total moment**: 11.343 Bohr magnetons per cell
**Offset from the most stable computed form**: 213.4 meV/atom

Cell: 3.1427 3.1427 12.0345 Å, 90.00 90.00 90.00°
With the nearest neighbours (Å) after each atom.
Space group I4mm (No. 107)
Asymmetric unit:
Ce1 0.0000 0.0000 0.0000 (multiplicity 2)  4 C 2.65, 1 Pu 2.70
Pu1 0.0000 0.0000 0.7754 (multiplicity 2)  4 C 2.55, 1 Ce 2.70
C1 0.0000 0.0000 0.3797 (multiplicity 2)  4 Pu 2.55, 4 Ce 2.65

Pr2AsCl | PBE | optimized geometry

Properties
**Crystal system**: orthorhombic
**Size of the total moment**: 0.000 Bohr magnetons per cell
**Raw formation energy**: -1.412 eV per atom

Cell: 4.1733 7.4948 7.1524 Å, 90.00 90.00 90.00°
With the nearest neighbours (Å) after each atom.
Space group Pmmn (No. 59, origin choice 2)
Asymmetric unit:
Pr1 0.2500 0.0021 0.2305 (multiplicity 4)  3 As 2.96-2.99, 3 Cl 3.12
As1 0.2500 0.7500 0.9067 (multiplicity 2)  6 Pr 2.96-2.99
Cl1 0.2500 0.2500 0.5810 (multiplicity 2)  6 Pr 3.12

Rb3Yb | PBE | optimized geometry

Properties
**Crystal system**: hexagonal
**Size of the total moment**: 0.483 Bohr magnetons per cell
**Uncorrected energy**: -0.937 eV/atom

Cell: 9.4676 9.4676 7.7384 Å, 90.00 90.00 120.00°
With the nearest neighbours (Å) after each atom.
Space group P6_3/mmc (No. 194)
Asymmetric unit:
Rb1 0.1713 0.3427 0.2500 (multiplicity 6)  8 Rb 4.60-4.87, 4 Yb 4.69-4.73
Yb1 0.3333 0.6667 0.7500 (multiplicity 2)  12 Rb 4.69-4.73

PuGa2Pb | PBE | optimized geometry

Properties
**Crystal system**: cubic
**Size of the total moment**: 23.229 Bohr magnetons per cell
**Offset from the most stable computed form**: 159.0 meV/atom

Cell: 7.2479 7.2479 7.2479 Å, 90.00 90.00 90.00°
With the nearest neighbours (Å) after each atom.
Space group Fm-3m (No. 225)
Asymmetric unit:
Pu1 0.0000 0.0000 0.0000 (multiplicity 4)  8 Ga 3.14
Ga1 0.2500 0.2500 0.2500 (multiplicity 8)  4 Pb 3.14, 4 Pu 3.14
Pb1 0.0000 0.0000 0.5000 (multiplicity 4)  8 Ga 3.14

BSeNF2 | PBE | optimized geometry

Properties
**Crystal system**: tetragonal
**Size of the total moment**: 0.000 Bohr magnetons per cell
**Offset from the most stable computed form**: 1074.8 meV/atom
**Raw formation energy**: 0.797 eV per atom

Cell: 4.3986 4.3986 3.7490 Å, 90.00 90.00 90.00°
With the nearest neighbours (Å) after each atom.
Space group P4/mmm (No. 123)
Asymmetric unit:
B1 0.0000 0.0000 0.0000 (multiplicity 1)  8 F 2.89, 4 N 3.11
Se1 0.5000 0.5000 0.5000 (multiplicity 1)  2 N 1.87
N1 0.5000 0.5000 0.0000 (multiplicity 1)  2 Se 1.87
F1 0.0000 0.5000 0.5000 (multiplicity 2)  2 Se 2.20

KInMo3 | PBE | optimized geometry

Properties
**Crystal system**: cubic
**Size of the total moment**: 1.095 Bohr magnetons per cell
**Offset from the most stable computed form**: 0.0 meV/atom

Cell: 5.0944 5.0944 5.0944 Å, 90.00 90.00 90.00°
With the nearest neighbours (Å) after each atom.
Space group Pm-3m (No. 221)
Asymmetric unit:
K1 0.0000 0.0000 0.0000 (multiplicity 1)  12 Mo 3.60
In1 0.5000 0.5000 0.5000 (multiplicity 1)  6 Mo 2.55
Mo1 0.0000 0.5000 0.5000 (multiplicity 3)  2 In 2.55

CdTe3 | PBE | optimized geometry

Properties
**Crystal system**: trigonal
**Size of the total moment**: 0.000 Bohr magnetons per cell
**Raw formation energy**: -0.104 eV per atom

Cell: 8.8497 8.8497 5.4322 Å, 90.00 90.00 120.00°
With the nearest neighbours (Å) after each atom.
Space group R-3m (No. 166, hexagonal axes)
Asymmetric unit:
Cd1 0.0000 0.0000 0.0000 (multiplicity 3)  6 Te 3.13
Te1 0.0000 0.5000 0.0000 (multiplicity 9)  2 Cd 3.13, 4 Te 3.13

YBe2Sb | PBE | optimized geometry

Properties
**Crystal system**: orthorhombic
**Size of the total moment**: 0.000 Bohr magnetons per cell
**Raw formation energy**: -0.076 eV per atom

Cell: 3.7804 3.8222 10.3918 Å, 90.00 90.00 90.00°
With the nearest neighbours (Å) after each atom.
Space group Imm2 (No. 44)
Asymmetric unit:
Y1 0.0000 0.0000 0.0000 (multiplicity 2)  6 Be 2.90-2.93, 2 Sb 3.15
Be1 0.0000 0.0000 0.3964 (multiplicity 2)  2 Be 2.21
Be2 0.0000 0.5000 0.7862 (multiplicity 2)  2 Be 2.21
Sb1 0.0000 0.5000 0.2409 (multiplicity 2)  6 Be 2.50-2.73

SmErSiGe | PBE | optimized geometry

Properties
**Crystal system**: orthorhombic
**Size of the total moment**: 0.000 Bohr magnetons per cell
**Raw formation energy**: -0.816 eV per atom

Cell: 3.9230 4.3246 10.7105 Å, 90.00 90.00 90.00°
With the nearest neighbours (Å) after each atom.
Space group Amm2 (No. 38)
Asymmetric unit:
Sm1 0.0000 0.0000 0.0000 (multiplicity 2)  3 Si 2.98-3.21, 4 Ge 2.99
Er1 0.5000 0.0000 0.2783 (multiplicity 2)  4 Si 2.98, 3 Ge 3.04-3.17
Si1 0.0000 0.0000 0.7218 (multiplicity 2)  2 Ge 2.60
Ge1 0.5000 0.0000 0.5618 (multiplicity 2)  2 Si 2.60

K2InTeO6 | PBE | optimized geometry

Properties
**Crystal system**: trigonal
**Size of the total moment**: 6.422 Bohr magnetons per cell
**Raw formation energy**: -1.270 eV per atom

Cell: 6.0513 6.0513 29.6357 Å, 90.00 90.00 120.00°
With the nearest neighbours (Å) after each atom.
Space group R-3m (No. 166, hexagonal axes)
Asymmetric unit:
K1 0.0000 0.0000 0.1299 (multiplicity 6)  12 O 3.03-3.12
K2 0.0000 0.0000 0.2732 (multiplicity 6)  3 O 2.76
In1 0.0000 0.0000 0.4014 (multiplicity 6)  6 O 2.12-2.29
Te1 0.0000 0.0000 0.0000 (multiplicity 3)  6 O 1.94
Te2 0.0000 0.0000 0.5000 (multiplicity 3)  6 O 1.95
O1 0.0348 0.5174 0.7054 (multiplicity 18)  1 Te 1.94, 1 In 2.12
O2 0.0417 0.5209 0.1258 (multiplicity 18)  1 Te 1.95

K2BaAs2O6 | PBE | optimized geometry

Properties
**Crystal system**: trigonal
**Size of the total moment**: 2.003 Bohr magnetons per cell
**Raw formation energy**: -1.643 eV per atom

Cell: 6.3527 6.3527 6.8988 Å, 90.00 90.00 120.00°
With the nearest neighbours (Å) after each atom.
Space group P-3 (No. 147)
Asymmetric unit:
K1 0.3333 0.6667 0.3798 (multiplicity 2)  3 O 2.77
Ba1 0.0000 0.0000 0.0000 (multiplicity 1)  6 O 2.75
As1 0.3333 0.6667 0.8563 (multiplicity 2)  3 O 1.74
O1 0.0970 0.7049 0.7709 (multiplicity 6)  1 As 1.74

Zr2Ge2Sb | PBE | optimized geometry

Properties
**Crystal system**: tetragonal
**Size of the total moment**: 0.000 Bohr magnetons per cell
**Offset from the most stable computed form**: 126.7 meV/atom
**Raw formation energy**: -0.437 eV per atom

Cell: 7.5417 7.5417 3.7627 Å, 90.00 90.00 90.00°
With the nearest neighbours (Å) after each atom.
Space group P4/mbm (No. 127)
Asymmetric unit:
Zr1 0.1569 0.3431 0.0000 (multiplicity 4)  2 Sb 2.85, 6 Ge 2.87-2.93
Ge1 0.1401 0.6401 0.5000 (multiplicity 4)  6 Zr 2.87-2.93, 1 Ge 2.99
Sb1 0.0000 0.0000 0.0000 (multiplicity 2)  4 Zr 2.85

AgBiN | PBE | optimized geometry

Properties
**Crystal system**: triclinic
**Size of the total moment**: 0.000 Bohr magnetons per cell
**Offset from the most stable computed form**: 0.0 meV/atom
**Raw formation energy**: 0.573 eV per atom

Cell: 3.5726 3.5774 8.4678 Å, 90.12 90.01 90.00°
With the nearest neighbours (Å) after each atom.
Space group P-1 (No. 2)
Asymmetric unit:
Ag1 0.2500 0.2504 0.0762 (multiplicity 2)  1 N 2.56, 4 Ag 2.84
Bi1 0.2509 0.2482 0.6532 (multiplicity 2)  5 N 2.33-2.56
N1 0.2507 0.2475 0.3782 (multiplicity 2)  5 Bi 2.33-2.56, 1 Ag 2.56

PmHoTmCd | PBE | optimized geometry

Properties
**Crystal system**: cubic
**Size of the total moment**: 0.005 Bohr magnetons per cell
**Offset from the most stable computed form**: 114.2 meV/atom

Cell: 7.7185 7.7185 7.7185 Å, 90.00 90.00 90.00°
With the nearest neighbours (Å) after each atom.
Space group F-43m (No. 216)
Asymmetric unit:
Pm1 0.0000 0.0000 0.0000 (multiplicity 4)  4 Cd 3.34, 4 Tm 3.34
Ho1 0.0000 0.0000 0.5000 (multiplicity 4)  4 Tm 3.34, 4 Cd 3.34
Tm1 0.2500 0.2500 0.7500 (multiplicity 4)  4 Ho 3.34, 4 Pm 3.34
Cd1 0.2500 0.2500 0.2500 (multiplicity 4)  4 Ho 3.34, 4 Pm 3.34

ZrCoSb2 | PBE | optimized geometry

Properties
**Crystal system**: tetragonal
**Size of the total moment**: 0.318 Bohr magnetons per cell
**Raw formation energy**: -0.211 eV per atom

Cell: 3.1705 3.1705 8.7456 Å, 90.00 90.00 90.00°
With the nearest neighbours (Å) after each atom.
Space group P4mm (No. 99)
Asymmetric unit:
Zr1 0.0000 0.0000 0.0000 (multiplicity 1)  4 Co 2.77
Co1 0.5000 0.5000 0.1856 (multiplicity 1)  4 Sb 2.71, 4 Zr 2.77
Sb1 0.0000 0.0000 0.3595 (multiplicity 1)  4 Co 2.71
Sb2 0.5000 0.5000 0.7422 (multiplicity 1)  4 Sb 3.17, 4 Zr 3.18

Y3FeB7 | PBE | optimized geometry

Properties
**Crystal system**: orthorhombic
**Size of the total moment**: 0.008 Bohr magnetons per cell
**Uncorrected energy**: -7.371 eV/atom

Cell: 3.4193 15.7360 9.3091 Å, 90.00 90.00 90.00°
With the nearest neighbours (Å) after each atom.
Space group Cmcm (No. 63)
Asymmetric unit:
Y1 0.0000 0.1049 0.0608 (multiplicity 8)  11 B 2.61-2.72
Y2 0.0000 0.2424 0.7500 (multiplicity 4)  10 B 2.62-2.67
Fe1 0.0000 0.0541 0.7500 (multiplicity 4)  10 B 2.25-2.27
B1 0.0000 0.2725 0.0327 (multiplicity 8)  3 B 1.90-1.95
B2 0.0000 0.3702 0.1533 (multiplicity 8)  3 B 1.77-1.90
B3 0.0000 0.4607 0.7500 (multiplicity 4)  2 B 1.71
B4 0.0000 0.4781 0.0985 (multiplicity 8)  2 B 1.71-1.77

Tm5GaIr | PBE | optimized geometry

Properties
**Crystal system**: monoclinic
**Size of the total moment**: 0.000 Bohr magnetons per cell
**Uncorrected energy**: -5.217 eV/atom

Cell: 9.0674 7.1919 11.5853 Å, 90.00 105.08 90.00°
With the nearest neighbours (Å) after each atom.
Space group C2/c (No. 15)
Asymmetric unit:
Tm1 0.0000 0.0173 0.2500 (multiplicity 4)  1 Ga 2.90, 2 Ir 2.90, 2 Tm 3.22
Tm2 0.1240 0.3375 0.5661 (multiplicity 8)  1 Ir 2.70
Tm3 0.2428 0.3292 0.8726 (multiplicity 8)  1 Ir 2.71, 1 Ga 2.91
Ga1 0.0000 0.4199 0.2500 (multiplicity 4)  5 Tm 2.90-3.18
Ir1 0.0000 0.0000 0.0000 (multiplicity 4)  6 Tm 2.70-2.90